1.
First-principles (GGA-PBE) data for crystalline Re3PdBr at its relaxed geometry, as listed in Alexandria via LeMat-Bulk.

Summary:
As for the uncorrected formation energy: 14.33 eV per formula unit. Its crystal system is cubic. For the spin magnetization, the calculation gives 5.34 Bohr magnetons per cell.

abc: 4.830 4.830 4.830
angles: 90.00 90.00 90.00
Site moments in Bohr magnetons follow the coordinates.
Fractional coordinates of all 5 atoms:
1 Re 0.000 0.500 0.000  1.52
2 Re 0.000 0.000 0.500  1.49
3 Re 0.500 0.000 0.000  1.31
4 Pd 0.000 0.000 0.000  0.20
5 Br 0.500 0.500 0.500  0.17

2.
First-principles (GGA-PBE) data for crystalline Re2PdBr8 at its relaxed geometry, as listed in Alexandria via LeMat-Bulk.

Summary:
As for the uncorrected formation energy: -0.74 eV per formula unit. Its crystal system is triclinic. For the spin magnetization, the calculation gives 2.00 Bohr magnetons per cell.

abc: 6.172 10.367 7.268
angles: 69.55 99.82 125.29
Site moments in Bohr magnetons follow the coordinates.
Fractional coordinates of all 11 atoms:
1 Re 0.966 0.361 0.619  0.69
2 Re 0.034 0.639 0.381  0.69
3 Br 0.046 0.239 0.970  0.03
4 Br 0.456 0.715 0.246  0.04
5 Br 0.138 0.899 0.415  0.03
6 Br 0.544 0.285 0.754  0.04
7 Br 0.954 0.761 0.030  0.03
8 Br 0.773 0.380 0.284  0.04
9 Br 0.227 0.620 0.716  0.04
10 Br 0.862 0.101 0.585  0.03
11 Pd 0.500 0.500 0.500  0.09

3.
First-principles (GGA-PBE) data for crystalline RePd2Br at its relaxed geometry, as listed in Alexandria via LeMat-Bulk.

Summary:
As for the uncorrected formation energy: 4.07 eV per formula unit. Its crystal system is tetragonal. For the spin magnetization, the calculation gives 0.00 Bohr magnetons per cell.

abc: 6.512 6.512 6.309
angles: 58.93 58.93 90.00
Fractional coordinates of all 8 atoms:
1 Pd 0.097 0.625 0.250
2 Pd 0.653 0.125 0.250
3 Pd 0.875 0.903 0.750
4 Pd 0.375 0.347 0.750
5 Re 0.750 0.250 0.500
6 Re 0.000 0.000 0.000
7 Br 0.500 0.500 0.000
8 Br 0.250 0.750 0.500